1.
This record from the Alexandria database describes crystalline CeSm3Dy6Ho2 at its relaxed geometry. The functional is PBE.

```
CeSm3Dy6Ho2
1.0
3.0860 -5.3432 0.0000
3.0860 5.3432 0.0000
-2.0561 0.0000 11.6109
Ce Sm Dy Ho
1 3 6 2
Direct
0.0000 0.0000 0.0000 Ce
0.1675 0.8325 0.5000 Sm
0.5000 0.5000 0.5000 Sm
0.8325 0.1675 0.5000 Sm
0.0828 0.4140 0.2474 Dy
0.2486 0.2486 0.7524 Dy
0.4140 0.0828 0.2474 Dy
0.5860 0.9172 0.7526 Dy
0.7514 0.7514 0.2476 Dy
0.9172 0.5860 0.7526 Dy
0.3334 0.6666 0.0000 Ho
0.6666 0.3334 0.0000 Ho
```

Output
calculated total energy: -56.5 eV per formula unit
crystal system: monoclinic

***

2.
This record from the Alexandria database describes crystalline FeRu5 at its relaxed geometry. The functional is PBE.

```
FeRu5
1.0
4.2737 0.0000 0.0000
0.0000 1.3567 6.9980
0.0000 -1.3567 6.9980
Fe Ru
1 5
Direct
0.0000 0.0000 0.0000 Fe
0.0000 0.3347 0.3347 Ru
0.0000 0.6645 0.6645 Ru
0.5000 0.1085 0.1085 Ru
0.5000 0.4462 0.4462 Ru
0.5000 0.7778 0.7778 Ru
```

Output
calculated total energy: -54.6 eV per formula unit
crystal system: orthorhombic

***

3.
This record from the Alexandria database describes crystalline ZrTcHg2 at its relaxed geometry. The functional is PBE.

```
ZrTcHg2
1.0
4.1039 0.0000 0.0000
0.0000 4.1222 0.0000
0.0000 0.0000 4.5352
Zr Tc Hg
1 1 2
Direct
0.0000 0.0000 0.0000 Zr
0.5000 0.5000 0.0000 Tc
0.0000 0.5000 0.5000 Hg
0.5000 0.0000 0.5000 Hg
```

Output
calculated total energy: -19.0 eV per formula unit
crystal system: orthorhombic

***

4.
This record from the Alexandria database describes crystalline SrThTe3Pd at its relaxed geometry. The functional is PBE.

```
SrThTe3Pd
1.0
2.1986 -7.4535 0.0000
2.1986 7.4535 0.0000
0.0000 0.0000 11.3365
Sr Th Te Pd
2 2 6 2
Direct
0.2435 0.7565 0.7500 Sr
0.7565 0.2435 0.2500 Sr
0.0000 0.0000 0.0000 Th
0.0000 0.0000 0.5000 Th
0.0868 0.9132 0.2500 Te
0.3552 0.6448 0.0630 Te
0.3552 0.6448 0.4370 Te
0.6448 0.3552 0.5630 Te
0.6448 0.3552 0.9370 Te
0.9132 0.0868 0.7500 Te
0.4730 0.5270 0.2500 Pd
0.5270 0.4730 0.7500 Pd
```

Output
formation energy without anion corrections: -1.24 eV per atom
crystal system: orthorhombic